1.
VASP calculation (GGA-PBE) on a geometry-optimized MgFeW2 structure.

```
MgFeW2
1.0
2.666 -4.401 0.000
2.666 4.401 0.000
0.000 0.000 2.644
Mg Fe W
1 1 2
direct
0.000 0.000 0.000
0.500 0.500 0.000
0.000 0.500 0.500
0.500 0.000 0.500
```

- E_form: 467 meV per atom
- Symmetry: No. 65

---

2.
VASP calculation (GGA-PBE) on a geometry-optimized LiTbDyS3 structure.

```
LiTbDyS3
1.0
8.030 0.000 0.000
0.000 3.794 0.000
-1.751 0.000 8.153
Li Tb Dy S
2 2 2 6
direct
0.087 0.250 0.083
0.913 0.750 0.917
0.184 0.250 0.719
0.816 0.750 0.281
0.339 0.750 0.332
0.661 0.250 0.668
0.094 0.250 0.368
0.216 0.750 0.991
0.420 0.750 0.671
0.580 0.250 0.329
0.784 0.250 0.009
0.906 0.750 0.632
```

- ΔE_f (raw): -1.81 eV per atom
- Symmetry: No. 11

---

3.
VASP calculation (GGA-PBE) on a geometry-optimized Al2Zn2Ag structure.

```
Al2Zn2Ag
1.0
-1.915 1.915 6.094
1.915 -1.915 6.094
1.915 1.915 -6.094
Al Zn Ag
2 2 1
direct
0.250 0.750 0.500
0.750 0.250 0.500
0.100 0.100 0.000
0.900 0.900 0.000
0.500 0.500 0.000
```

- E_form: 159 meV per atom
- Symmetry: No. 139
- Excess energy over the best structure of this formula in the dataset: 170 meV/atom

---

4.
VASP calculation (GGA-PBE) on a geometry-optimized HfZr3ScZn structure.

```
HfZr3ScZn
1.0
2.195 -6.614 0.000
2.195 6.614 0.000
0.000 0.000 8.894
Hf Zr Sc Zn
2 6 2 2
direct
0.000 0.000 0.000
0.000 0.000 0.500
0.160 0.840 0.750
0.336 0.664 0.004
0.336 0.664 0.496
0.664 0.336 0.504
0.664 0.336 0.996
0.840 0.160 0.250
0.162 0.838 0.250
0.838 0.162 0.750
0.497 0.503 0.750
0.503 0.497 0.250
```

- E_form: -31 meV per atom
- Symmetry: No. 63

---

no.,total moment (μB/cell)
1,2.55
2,0.00
3,0.00
4,0.00